DFT (PBE-GGA) results for InReSb2 after structural relaxation.

The value obtained for the density of states at the Fermi level is 2.8 states/eV/cell. The total energy comes out at -5.46 eV per atom. The calculation puts the uncorrected formation energy at 154 kJ/mol of formula units.

abc: 3.2480 3.2480 8.5814
angles: 90.00 90.00 90.00
Fractional positions:
Sb 0.0000 0.0000 0.9349
Sb 0.5000 0.5000 0.2620
Re 0.5000 0.5000 0.7550
In 0.0000 0.0000 0.5480